1.
KPmMg: optimized geometry, PBE.

Structure (POSCAR):
```
KPmMg
1.0
-2.8699 -1.6429 1.5367
0.9320 -0.7864 -3.4267
11.5105 -14.1430 6.3766
Pm K Mg
2 2 2
direct
0.2750 0.5501 0.8608
0.2750 0.5501 0.1392
0.6144 0.2289 0.3302
0.6144 0.2289 0.6698
0.6100 0.2199 0.0000
0.2777 0.5554 0.5000
```

Its formation enthalpy at 0 K is 0.26 eV per atom. As for the space group: No. 38. The value obtained for the total energy is -2.220 eV per atom.

=====

2.
KPm2Mg: optimized geometry, PBE.

Structure (POSCAR):
```
KPm2Mg
1.0
3.6068 0.0000 0.0000
1.8034 3.1235 0.0000
1.8034 1.0412 13.0761
Pm K Mg
2 1 1
direct
0.0995 0.0995 0.7014
0.9005 0.9005 0.2986
0.0000 0.0000 0.0000
0.5000 0.5000 0.5000
```

Its formation enthalpy at 0 K is 0.24 eV per atom. As for the space group: No. 166. The value obtained for the total energy is -2.809 eV per atom.

=====

3.
KPmMg4: optimized geometry, PBE.

Structure (POSCAR):
```
KPmMg4
1.0
6.3033 0.0000 0.0000
3.1516 5.4588 0.0000
3.1516 1.8196 5.1466
Mg Pm K
4 1 1
direct
0.6263 0.1210 0.6263
0.6263 0.6263 0.6263
0.6263 0.6263 0.1210
0.1210 0.6263 0.6263
0.0000 0.0000 0.0000
0.2500 0.2500 0.2500
```

Its formation enthalpy at 0 K is 0.11 eV per atom. As for the space group: No. 216. The value obtained for the total energy is -1.932 eV per atom.